A geometry-optimized Sm3Re2C4 structure, computed with PBE.

electronic total energy	-153.42	eV/cell

a = 5.6714 Å, b = 7.2458 Å, c = 7.2458 Å
α = 74.78°, β = 89.15°, γ = 89.15°
Positions (direct):
C 0.9813 0.3011 0.9460
Re 0.0916 0.5852 0.8260
C 0.5187 0.0540 0.6989
Sm 0.9619 0.9834 0.2500
C 0.9244 0.7379 0.5867
Sm 0.5381 0.7500 0.0166
C 0.4813 0.9460 0.3011
C 0.0756 0.2621 0.4133
Sm 0.4619 0.2500 0.9834
Sm 0.0381 0.0166 0.7500
C 0.4244 0.5867 0.7379
Re 0.9084 0.4148 0.1740
C 0.0187 0.6989 0.0540
C 0.5756 0.4133 0.2621
Re 0.5916 0.8260 0.5852
Re 0.4084 0.1740 0.4148
Sm 0.2500 0.5954 0.4046
Sm 0.7500 0.4046 0.5954